Record 1
The following is a PBE-GGA calculation of a geometry-optimized Be2TlRe structure, from Alexandria.

The value obtained for the mass density is 11.843 g cm⁻³. As for the spin magnetization: 0.00 μB/atom. The formation energy from the elements comes out at 0.592 eV/atom.

abc: 3.0162 3.0162 6.2978
angles: 90.00 90.00 90.00
Fractional positions:
Re 0.0000 0.0000 0.4216
Tl 0.5000 0.5000 0.7636
Be 0.0000 0.0000 0.0677
Be 0.5000 0.5000 0.2470

=====

Record 2
The following is a PBE-GGA calculation of a geometry-optimized BeTlRe2 structure, from Alexandria.

The value obtained for the mass density is 13.844 g cm⁻³. As for the spin magnetization: 0.00 μB/atom. The formation energy from the elements comes out at 0.935 eV/atom.

abc: 3.8847 3.8847 9.7089
angles: 78.46 78.46 90.00
Fractional positions:
Re 0.5568 0.1250 0.2500
Re 0.1932 0.6250 0.2500
Re 0.3750 0.4432 0.7500
Re 0.8750 0.8068 0.7500
Tl 0.0000 0.0000 0.0000
Tl 0.7500 0.2500 0.5000
Be 0.5000 0.5000 0.0000
Be 0.2500 0.7500 0.5000

=====

Record 3
The following is a PBE-GGA calculation of a geometry-optimized BeTlRe2 structure, from Alexandria.

The value obtained for the mass density is 16.171 g cm⁻³. As for the spin magnetization: 0.00 μB/atom. The formation energy from the elements comes out at 0.651 eV/atom.

abc: 5.2188 5.2188 5.2188
angles: 146.66 128.91 62.38
Fractional positions:
Re 0.0442 0.0442 0.0000
Re 0.4558 0.4558 0.0000
Tl 0.7500 0.2500 0.5000
Be 0.2500 0.7500 0.5000

=====

Record 4
The following is a PBE-GGA calculation of a geometry-optimized BeTlRe3 structure, from Alexandria.

The value obtained for the mass density is 16.520 g cm⁻³. As for the spin magnetization: 0.00 μB/atom. The formation energy from the elements comes out at 1.115 eV/atom.

abc: 4.2653 4.2653 4.2653
angles: 90.00 90.00 90.00
Fractional positions:
Re 0.0000 0.5000 0.0000
Re 0.5000 0.0000 0.0000
Re 0.0000 0.0000 0.5000
Tl 0.5000 0.5000 0.5000
Be 0.0000 0.0000 0.0000

=====

> Among the records above, which one has the highest mass density?

BeTlRe3

=====

> Which value of formation energy from the elements does entry 1 give?

0.592 eV/atom

=====

> What is the formation energy from the elements in the first record?

0.592 eV/atom

=====

Repeat the third record exactly.
The following is a PBE-GGA calculation of a geometry-optimized BeTlRe2 structure, from Alexandria.

The value obtained for the mass density is 16.171 g cm⁻³. As for the spin magnetization: 0.00 μB/atom. The formation energy from the elements comes out at 0.651 eV/atom.

abc: 5.2188 5.2188 5.2188
angles: 146.66 128.91 62.38
Fractional positions:
Re 0.0442 0.0442 0.0000
Re 0.4558 0.4558 0.0000
Tl 0.7500 0.2500 0.5000
Be 0.2500 0.7500 0.5000